Material: HoTmAlPd
Method: DFT, PBE
State: relaxed

a b c (Å): 4.454 5.832 5.832
angles (deg): 37.34 90.00 90.00
Positions (direct):
Ho  0.000  0.000  0.000
Tm  0.500  0.294  0.294
Al  0.000  0.719  0.719
Pd  0.500  0.577  0.577

Computed properties:
- DOS(E_F): 3.3 states/eV per cell
- Energy of formation: -0.636 eV per atom
- Distance to the lowest polymorph of the same formula: 0 meV/atom